DFT (PBE) results for a relaxed structure of HfTl5Se5.

Cell and atoms, written as POSCAR:
```
HfTl5Se5
1.0
7.8155 -2.7774 0.0000
7.8155 2.7774 0.0000
-3.9060 0.0000 7.9257
Hf Tl Se
1 5 5
direct
0.0000 0.0000 0.0000
0.0000 0.0000 0.5000
0.2889 0.2889 0.7249
0.3822 0.3822 0.2191
0.6178 0.6178 0.7809
0.7111 0.7111 0.2751
0.1233 0.1233 0.3258
0.1538 0.1538 0.9454
0.5000 0.5000 0.0000
0.8462 0.8462 0.0546
0.8767 0.8767 0.6742
```

Results
**Uncorrected formation energy**: -0.545 eV per atom
**Calculated density**: 7699 kg/m3
**Symmetry**: C2/m, No. 12
**Total energy**: -4.110 eV per atom

=====

DFT (PBE) results for a relaxed structure of HfTlSe2.

Cell and atoms, written as POSCAR:
```
HfTlSe2
1.0
5.2892 -4.2128 0.0000
5.2892 4.2128 0.0000
-4.0931 0.0000 5.3444
Hf Tl Se
2 2 4
direct
0.0035 0.9965 0.7500
0.9965 0.0035 0.2500
0.4979 0.5021 0.7500
0.5021 0.4979 0.2500
0.9999 0.3297 0.6616
0.0001 0.6703 0.3384
0.3297 0.9999 0.1616
0.6703 0.0001 0.8384
```

Results
**Uncorrected formation energy**: -0.752 eV per atom
**Calculated density**: 7541 kg/m3
**Symmetry**: C2/c, No. 15
**Total energy**: -5.574 eV per atom